# LiMgNi2

LiMgNi2 after structural relaxation (PBE-GGA, Alexandria via LeMat-Bulk).

Unit cell a=5.2899 b=5.2899 c=5.2899 alpha=102.71 beta=102.71 gamma=124.06
With the nearest neighbours (Å) after each atom.
Element x y z (fractional)
Li (0.0000, 0.0000, 0.0000)  4 Ni 2.31, 2 Mg 2.48
Li (0.7500, 0.2500, 0.5000)  4 Ni 2.31, 2 Mg 2.48
Mg (0.2500, 0.7500, 0.5000)  2 Li 2.48, 4 Ni 2.53
Mg (0.5000, 0.5000, 0.0000)  2 Li 2.48, 4 Ni 2.53
Ni (0.1010, 0.6250, 0.9760)  2 Li 2.31, 2 Ni 2.50, 2 Mg 2.53
Ni (0.3750, 0.3510, 0.4760)  2 Li 2.31, 2 Ni 2.50, 2 Mg 2.53
Ni (0.6490, 0.1250, 0.0240)  2 Li 2.31, 2 Ni 2.50, 2 Mg 2.53
Ni (0.8750, 0.8990, 0.5240)  2 Li 2.31, 2 Ni 2.50, 2 Mg 2.53

Summary:
The density of states at the Fermi level is 0.686 states/eV/atom. The calculated formation energy is 0.236 eV per atom. The calculation puts the total energy at -3.53 eV per atom. The value obtained for the calculated volume is 54.2 Å³/f.u.